Density functional theory data (PBE with a Hubbard U) for a geometry-optimized CrW2F structure.

a = 4.326 Å, b = 4.326 Å, c = 4.326 Å
α = 60.00°, β = 60.00°, γ = 60.00°
Element x y z (fractional)
Cr: 0.000 0.000 0.000
W: 0.250 0.250 0.250
W: 0.750 0.750 0.750
F: 0.500 0.500 0.500

Properties
Size of the total moment: 0.000 μB per formula unit
Space-group type: No. 225
Uncorrected energy: -4.52 eV/atom
N(E_F): 2.821 states/eV per cell